[1]
First-principles (PBE) data for a relaxed structure of Ti3GaSi, as listed in Alexandria via LeMat-Bulk. Values from VASP.

DOS(E_F): 10.83 states/eV per cell
V: 17.19 A^3/atom
raw formation energy: 0.16 eV/f.u.
energy above the most stable polymorph in this dataset: 0 meV per atom

Cell and atoms, written as Quantum ESPRESSO input:
```
&SYSTEM
  ibrav = 0, nat = 10, ntyp = 3
/
ATOMIC_SPECIES
Ti 47.87 Ti.upf
Ga 69.72 Ga.upf
Si 28.09 Si.upf
ATOMIC_POSITIONS crystal
Ti 0.198 0.397 0.250
Ti 0.198 0.802 0.250
Ti 0.397 0.198 0.750
Ti 0.603 0.802 0.250
Ti 0.802 0.198 0.750
Ti 0.802 0.603 0.750
Ga 0.000 0.000 0.000
Ga 0.000 0.000 0.500
Si 0.333 0.667 0.750
Si 0.667 0.333 0.250
CELL_PARAMETERS angstrom
6.381 0.000 0.000
-3.191 5.526 0.000
0.000 0.000 4.873
```


[2]
First-principles (PBE) data for a relaxed structure of Ti12Ga6Si, as listed in Alexandria via LeMat-Bulk. Values from VASP.

DOS(E_F): 21.37 states/eV per cell
V: 16.25 A^3/atom
raw formation energy: -5.31 eV/f.u.

Cell and atoms, written as Quantum ESPRESSO input:
```
&SYSTEM
  ibrav = 0, nat = 19, ntyp = 3
/
ATOMIC_SPECIES
Ti 47.87 Ti.upf
Ga 69.72 Ga.upf
Si 28.09 Si.upf
ATOMIC_POSITIONS crystal
Ti 0.022 0.938 0.305
Ti 0.062 0.695 0.978
Ti 0.127 0.447 0.358
Ti 0.305 0.022 0.938
Ti 0.358 0.127 0.447
Ti 0.447 0.358 0.127
Ti 0.553 0.642 0.873
Ti 0.642 0.873 0.553
Ti 0.695 0.978 0.062
Ti 0.873 0.553 0.642
Ti 0.938 0.305 0.022
Ti 0.978 0.062 0.695
Ga 0.225 0.378 0.762
Ga 0.238 0.775 0.622
Ga 0.378 0.762 0.225
Ga 0.622 0.238 0.775
Ga 0.762 0.225 0.378
Ga 0.775 0.622 0.238
Si 0.500 0.500 0.500
CELL_PARAMETERS angstrom
4.783 2.762 3.895
-4.783 2.762 3.895
0.000 -5.523 3.895
```


[3]
First-principles (PBE) data for a relaxed structure of Ti5Ga2Si2, as listed in Alexandria via LeMat-Bulk. Values from VASP.

DOS(E_F): 15.21 states/eV per cell
V: 16.11 A^3/atom
raw formation energy: -5.23 eV/f.u.

Cell and atoms, written as Quantum ESPRESSO input:
```
&SYSTEM
  ibrav = 0, nat = 18, ntyp = 3
/
ATOMIC_SPECIES
Ti 47.87 Ti.upf
Ga 69.72 Ga.upf
Si 28.09 Si.upf
ATOMIC_POSITIONS crystal
Ti 0.000 0.000 0.000
Ti 0.048 0.693 0.676
Ti 0.193 0.548 0.176
Ti 0.307 0.952 0.676
Ti 0.452 0.807 0.176
Ti 0.500 0.500 0.500
Ti 0.548 0.193 0.824
Ti 0.693 0.048 0.324
Ti 0.807 0.452 0.824
Ti 0.952 0.307 0.324
Ga 0.213 0.213 0.000
Ga 0.287 0.287 0.500
Ga 0.713 0.713 0.500
Ga 0.787 0.787 0.000
Si 0.125 0.875 0.374
Si 0.375 0.625 0.874
Si 0.625 0.375 0.126
Si 0.875 0.125 0.626
CELL_PARAMETERS angstrom
6.468 -3.363 0.000
6.468 3.363 0.000
0.000 0.000 6.664
```


[4]
First-principles (PBE) data for a relaxed structure of TiGaSi2, as listed in Alexandria via LeMat-Bulk. Values from VASP.

DOS(E_F): 7.18 states/eV per cell
V: 16.57 A^3/atom
raw formation energy: 0.48 eV/f.u.

Cell and atoms, written as Quantum ESPRESSO input:
```
&SYSTEM
  ibrav = 0, nat = 8, ntyp = 3
/
ATOMIC_SPECIES
Ti 47.87 Ti.upf
Ga 69.72 Ga.upf
Si 28.09 Si.upf
ATOMIC_POSITIONS crystal
Ti 0.000 0.000 0.000
Ti 0.750 0.250 0.500
Ga 0.250 0.750 0.500
Ga 0.500 0.500 0.000
Si 0.139 0.625 0.014
Si 0.375 0.389 0.514
Si 0.611 0.125 0.986
Si 0.875 0.861 0.486
CELL_PARAMETERS angstrom
-3.555 3.555 2.621
3.555 -3.555 2.621
3.555 3.555 -2.621
```


[5]
First-principles (PBE) data for a relaxed structure of TlGaSi2, as listed in Alexandria via LeMat-Bulk. Values from VASP.

DOS(E_F): 4.22 states/eV per cell
V: 25.79 A^3/atom
raw formation energy: 1.97 eV/f.u.
energy above the most stable polymorph in this dataset: 0 meV per atom

Cell and atoms, written as Quantum ESPRESSO input:
```
&SYSTEM
  ibrav = 0, nat = 8, ntyp = 3
/
ATOMIC_SPECIES
Tl 204.38 Tl.upf
Ga 69.72 Ga.upf
Si 28.09 Si.upf
ATOMIC_POSITIONS crystal
Tl 0.000 0.000 0.000
Tl 0.750 0.250 0.500
Ga 0.250 0.750 0.500
Ga 0.500 0.500 0.000
Si 0.163 0.625 0.038
Si 0.375 0.413 0.538
Si 0.587 0.125 0.962
Si 0.875 0.837 0.462
CELL_PARAMETERS angstrom
-2.976 2.976 5.823
2.976 -2.976 5.823
2.976 2.976 -5.823
```


[6]
First-principles (PBE) data for a relaxed structure of TlGaSi3, as listed in Alexandria via LeMat-Bulk. Values from VASP.

DOS(E_F): 2.94 states/eV per cell
V: 23.24 A^3/atom
raw formation energy: 4.34 eV/f.u.
energy above the most stable polymorph in this dataset: 0 meV per atom

Cell and atoms, written as Quantum ESPRESSO input:
```
&SYSTEM
  ibrav = 0, nat = 5, ntyp = 3
/
ATOMIC_SPECIES
Tl 204.38 Tl.upf
Ga 69.72 Ga.upf
Si 28.09 Si.upf
ATOMIC_POSITIONS crystal
Tl 0.000 0.000 0.000
Ga 0.500 0.500 0.500
Si 0.000 0.500 0.500
Si 0.500 0.000 0.500
Si 0.500 0.500 0.000
CELL_PARAMETERS angstrom
4.880 0.000 0.000
0.000 4.880 0.000
0.000 0.000 4.880
```


[7]
First-principles (PBE) data for a relaxed structure of Tl3GaSi, as listed in Alexandria via LeMat-Bulk. Values from VASP.

DOS(E_F): 2.93 states/eV per cell
V: 31.60 A^3/atom
raw formation energy: 3.36 eV/f.u.
energy above the most stable polymorph in this dataset: 174 meV per atom

Cell and atoms, written as Quantum ESPRESSO input:
```
&SYSTEM
  ibrav = 0, nat = 5, ntyp = 3
/
ATOMIC_SPECIES
Tl 204.38 Tl.upf
Ga 69.72 Ga.upf
Si 28.09 Si.upf
ATOMIC_POSITIONS crystal
Tl 0.000 0.000 0.500
Tl 0.000 0.500 0.000
Tl 0.500 0.000 0.000
Ga 0.000 0.000 0.000
Si 0.500 0.500 0.500
CELL_PARAMETERS angstrom
5.406 0.000 0.000
0.000 5.406 0.000
0.000 0.000 5.406
```


[8]
First-principles (PBE) data for a relaxed structure of TlGa3Si, as listed in Alexandria via LeMat-Bulk. Values from VASP.

DOS(E_F): 2.40 states/eV per cell
V: 24.14 A^3/atom
raw formation energy: 1.57 eV/f.u.
energy above the most stable polymorph in this dataset: 0 meV per atom

Cell and atoms, written as Quantum ESPRESSO input:
```
&SYSTEM
  ibrav = 0, nat = 5, ntyp = 3
/
ATOMIC_SPECIES
Tl 204.38 Tl.upf
Ga 69.72 Ga.upf
Si 28.09 Si.upf
ATOMIC_POSITIONS crystal
Tl 0.000 0.000 0.000
Ga 0.000 0.500 0.500
Ga 0.500 0.000 0.500
Ga 0.500 0.500 0.000
Si 0.500 0.500 0.500
CELL_PARAMETERS angstrom
4.942 0.000 0.000
0.000 4.942 0.000
0.000 0.000 4.942
```


[9]
First-principles (PBE) data for a relaxed structure of TlGa3Si, as listed in Alexandria via LeMat-Bulk. Values from VASP.

DOS(E_F): 2.75 states/eV per cell
V: 29.88 A^3/atom
raw formation energy: 4.90 eV/f.u.
energy above the most stable polymorph in this dataset: 666 meV per atom

Cell and atoms, written as Quantum ESPRESSO input:
```
&SYSTEM
  ibrav = 0, nat = 5, ntyp = 3
/
ATOMIC_SPECIES
Tl 204.38 Tl.upf
Ga 69.72 Ga.upf
Si 28.09 Si.upf
ATOMIC_POSITIONS crystal
Tl 0.000 0.000 0.000
Ga 0.000 0.000 0.500
Ga 0.000 0.500 0.000
Ga 0.500 0.000 0.000
Si 0.500 0.500 0.500
CELL_PARAMETERS angstrom
5.306 0.000 0.000
0.000 5.306 0.000
0.000 0.000 5.306
```


[10]
First-principles (PBE) data for a relaxed structure of Tl3GaSi, as listed in Alexandria via LeMat-Bulk. Values from VASP.

DOS(E_F): 2.64 states/eV per cell
V: 31.27 A^3/atom
raw formation energy: 2.49 eV/f.u.
energy above the most stable polymorph in this dataset: 0 meV per atom

Cell and atoms, written as Quantum ESPRESSO input:
```
&SYSTEM
  ibrav = 0, nat = 5, ntyp = 3
/
ATOMIC_SPECIES
Tl 204.38 Tl.upf
Ga 69.72 Ga.upf
Si 28.09 Si.upf
ATOMIC_POSITIONS crystal
Tl 0.000 0.000 0.500
Tl 0.000 0.500 0.000
Tl 0.500 0.000 0.000
Ga 0.500 0.500 0.500
Si 0.000 0.000 0.000
CELL_PARAMETERS angstrom
5.387 0.000 0.000
0.000 5.387 0.000
0.000 0.000 5.387
```


[11]
First-principles (PBE) data for a relaxed structure of TlGaSi2, as listed in Alexandria via LeMat-Bulk. Values from VASP.

DOS(E_F): 2.08 states/eV per cell
V: 20.49 A^3/atom
raw formation energy: 2.36 eV/f.u.
energy above the most stable polymorph in this dataset: 98 meV per atom

Cell and atoms, written as Quantum ESPRESSO input:
```
&SYSTEM
  ibrav = 0, nat = 4, ntyp = 3
/
ATOMIC_SPECIES
Tl 204.38 Tl.upf
Ga 69.72 Ga.upf
Si 28.09 Si.upf
ATOMIC_POSITIONS crystal
Tl 0.000 0.000 0.000
Ga 0.500 0.500 0.500
Si 0.250 0.250 0.250
Si 0.750 0.750 0.750
CELL_PARAMETERS angstrom
0.000 3.447 3.447
3.447 0.000 3.447
3.447 3.447 0.000
```


[12]
First-principles (PBE) data for a relaxed structure of YTlGa2Si, as listed in Alexandria via LeMat-Bulk. Values from VASP.

DOS(E_F): 2.80 states/eV per cell
V: 24.85 A^3/atom
raw formation energy: 1.10 eV/f.u.

Cell and atoms, written as Quantum ESPRESSO input:
```
&SYSTEM
  ibrav = 0, nat = 5, ntyp = 4
/
ATOMIC_SPECIES
Y 88.91 Y.upf
Tl 204.38 Tl.upf
Ga 69.72 Ga.upf
Si 28.09 Si.upf
ATOMIC_POSITIONS crystal
Y 0.000 0.000 0.000
Tl 0.500 0.500 0.000
Ga 0.000 0.500 0.500
Ga 0.500 0.000 0.500
Si 0.500 0.500 0.500
CELL_PARAMETERS angstrom
4.835 0.000 0.000
0.000 4.835 0.000
0.000 0.000 5.316
```


[13]
First-principles (PBE) data for a relaxed structure of Tm5GaSi6, as listed in Alexandria via LeMat-Bulk. Values from VASP.

DOS(E_F): 4.60 states/eV per cell
V: 21.24 A^3/atom
raw formation energy: -6.85 eV/f.u.

Cell and atoms, written as Quantum ESPRESSO input:
```
&SYSTEM
  ibrav = 0, nat = 12, ntyp = 3
/
ATOMIC_SPECIES
Tm 168.93 Tm.upf
Ga 69.72 Ga.upf
Si 28.09 Si.upf
ATOMIC_POSITIONS crystal
Tm 0.000 0.000 0.000
Tm 0.186 0.814 0.500
Tm 0.385 0.615 0.000
Tm 0.615 0.385 0.000
Tm 0.814 0.186 0.500
Ga 0.500 0.500 0.500
Si 0.011 0.620 0.881
Si 0.185 0.185 0.608
Si 0.380 0.989 0.119
Si 0.620 0.011 0.881
Si 0.815 0.815 0.392
Si 0.989 0.380 0.119
CELL_PARAMETERS angstrom
3.560 -7.205 0.000
3.560 7.205 0.000
-2.374 0.000 4.968
```


[14]
First-principles (PBE) data for a relaxed structure of Tm6GaSi2, as listed in Alexandria via LeMat-Bulk. Values from VASP.

DOS(E_F): 13.14 states/eV per cell
V: 24.31 A^3/atom
raw formation energy: -4.98 eV/f.u.

Cell and atoms, written as Quantum ESPRESSO input:
```
&SYSTEM
  ibrav = 0, nat = 18, ntyp = 3
/
ATOMIC_SPECIES
Tm 168.93 Tm.upf
Ga 69.72 Ga.upf
Si 28.09 Si.upf
ATOMIC_POSITIONS crystal
Tm 0.046 0.245 0.802
Tm 0.180 0.269 0.449
Tm 0.180 0.731 0.911
Tm 0.324 0.030 0.707
Tm 0.324 0.617 0.293
Tm 0.443 0.245 0.198
Tm 0.557 0.755 0.802
Tm 0.676 0.383 0.707
Tm 0.676 0.970 0.293
Tm 0.820 0.269 0.089
Tm 0.820 0.731 0.551
Tm 0.954 0.755 0.198
Ga 0.000 0.000 0.000
Ga 0.500 0.500 0.000
Si 0.118 0.618 0.500
Si 0.365 0.000 0.365
Si 0.635 0.000 0.635
Si 0.882 0.382 0.500
CELL_PARAMETERS angstrom
-4.668 4.697 4.989
4.668 -4.697 4.989
4.668 4.697 -4.989
```


[15]
First-principles (PBE) data for a relaxed structure of Tm2GaSi, as listed in Alexandria via LeMat-Bulk. Values from VASP.

DOS(E_F): 6.02 states/eV per cell
V: 21.86 A^3/atom
raw formation energy: -2.96 eV/f.u.

Cell and atoms, written as Quantum ESPRESSO input:
```
&SYSTEM
  ibrav = 0, nat = 8, ntyp = 3
/
ATOMIC_SPECIES
Tm 168.93 Tm.upf
Ga 69.72 Ga.upf
Si 28.09 Si.upf
ATOMIC_POSITIONS crystal
Tm 0.205 0.250 0.426
Tm 0.284 0.750 0.068
Tm 0.716 0.250 0.932
Tm 0.795 0.750 0.574
Ga 0.368 0.750 0.710
Ga 0.632 0.250 0.290
Si 0.137 0.250 0.790
Si 0.863 0.750 0.210
CELL_PARAMETERS angstrom
5.686 0.000 0.000
0.000 3.906 0.000
-2.509 0.000 7.871
```


[16]
First-principles (PBE) data for a relaxed structure of Tm4Ga5Si2, as listed in Alexandria via LeMat-Bulk. Values from VASP.

DOS(E_F): 7.11 states/eV per cell
V: 20.49 A^3/atom
raw formation energy: -6.68 eV/f.u.

Cell and atoms, written as Quantum ESPRESSO input:
```
&SYSTEM
  ibrav = 0, nat = 11, ntyp = 3
/
ATOMIC_SPECIES
Tm 168.93 Tm.upf
Ga 69.72 Ga.upf
Si 28.09 Si.upf
ATOMIC_POSITIONS crystal
Tm 0.218 0.000 0.364
Tm 0.242 0.000 0.895
Tm 0.758 0.000 0.105
Tm 0.782 0.000 0.636
Ga 0.128 0.500 0.623
Ga 0.447 0.500 0.159
Ga 0.500 0.500 0.500
Ga 0.553 0.500 0.841
Ga 0.872 0.500 0.377
Si 0.083 0.500 0.130
Si 0.917 0.500 0.870
CELL_PARAMETERS angstrom
6.917 0.000 0.000
0.000 4.136 0.000
-0.153 0.000 7.879
```


[17]
First-principles (PBE) data for a relaxed structure of Tm5GaSi2, as listed in Alexandria via LeMat-Bulk. Values from VASP.

DOS(E_F): 10.15 states/eV per cell
V: 23.61 A^3/atom
raw formation energy: -4.99 eV/f.u.

Cell and atoms, written as Quantum ESPRESSO input:
```
&SYSTEM
  ibrav = 0, nat = 16, ntyp = 3
/
ATOMIC_SPECIES
Tm 168.93 Tm.upf
Ga 69.72 Ga.upf
Si 28.09 Si.upf
ATOMIC_POSITIONS crystal
Tm 0.000 0.000 0.000
Tm 0.026 0.526 0.839
Tm 0.187 0.026 0.500
Tm 0.313 0.813 0.839
Tm 0.474 0.313 0.500
Tm 0.500 0.500 0.000
Tm 0.526 0.687 0.500
Tm 0.687 0.187 0.161
Tm 0.813 0.974 0.500
Tm 0.974 0.474 0.161
Ga 0.250 0.250 0.000
Ga 0.750 0.750 0.000
Si 0.127 0.373 0.500
Si 0.373 0.873 0.246
Si 0.627 0.127 0.754
Si 0.873 0.627 0.500
CELL_PARAMETERS angstrom
-3.736 3.736 6.768
3.736 -3.736 6.768
3.736 3.736 -6.768
```


[18]
First-principles (PBE) data for a relaxed structure of Tm2GaSi, as listed in Alexandria via LeMat-Bulk. Values from VASP.

DOS(E_F): 1.95 states/eV per cell
V: 21.24 A^3/atom
raw formation energy: -2.08 eV/f.u.

Cell and atoms, written as Quantum ESPRESSO input:
```
&SYSTEM
  ibrav = 0, nat = 4, ntyp = 3
/
ATOMIC_SPECIES
Tm 168.93 Tm.upf
Ga 69.72 Ga.upf
Si 28.09 Si.upf
ATOMIC_POSITIONS crystal
Tm 0.000 0.500 0.000
Tm 0.500 0.000 0.000
Ga 0.000 0.000 0.500
Si 0.500 0.500 0.500
CELL_PARAMETERS angstrom
4.665 0.000 0.000
0.000 4.665 0.000
0.000 0.000 3.904
```


[19]
First-principles (PBE) data for a relaxed structure of Tm8Ga2Si, as listed in Alexandria via LeMat-Bulk. Values from VASP.

DOS(E_F): 11.05 states/eV per cell
V: 25.80 A^3/atom
raw formation energy: -3.63 eV/f.u.

Cell and atoms, written as Quantum ESPRESSO input:
```
&SYSTEM
  ibrav = 0, nat = 11, ntyp = 3
/
ATOMIC_SPECIES
Tm 168.93 Tm.upf
Ga 69.72 Ga.upf
Si 28.09 Si.upf
ATOMIC_POSITIONS crystal
Tm 0.028 0.028 0.276
Tm 0.214 0.214 0.818
Tm 0.345 0.345 0.519
Tm 0.410 0.410 0.046
Tm 0.590 0.590 0.954
Tm 0.655 0.655 0.481
Tm 0.786 0.786 0.182
Tm 0.972 0.972 0.724
Ga 0.186 0.186 0.257
Ga 0.814 0.814 0.743
Si 0.500 0.500 0.500
CELL_PARAMETERS angstrom
9.245 -2.421 0.000
9.245 2.421 0.000
-1.454 0.000 6.340
```


[20]
First-principles (PBE) data for a relaxed structure of Tm3Ga4Si2, as listed in Alexandria via LeMat-Bulk. Values from VASP.

DOS(E_F): 3.14 states/eV per cell
V: 19.48 A^3/atom
raw formation energy: -5.25 eV/f.u.

Cell and atoms, written as Quantum ESPRESSO input:
```
&SYSTEM
  ibrav = 0, nat = 9, ntyp = 3
/
ATOMIC_SPECIES
Tm 168.93 Tm.upf
Ga 69.72 Ga.upf
Si 28.09 Si.upf
ATOMIC_POSITIONS crystal
Tm 0.000 0.000 0.000
Tm 0.332 0.332 0.337
Tm 0.668 0.668 0.663
Ga 0.060 0.060 0.391
Ga 0.266 0.266 0.933
Ga 0.734 0.734 0.067
Ga 0.940 0.940 0.609
Si 0.396 0.396 0.730
Si 0.604 0.604 0.270
CELL_PARAMETERS angstrom
5.339 -2.066 0.000
5.339 2.066 0.000
-1.827 0.000 7.948
```